1.
Computed, not measured: an optimized crystal structure of SrLiZn2 at the PBE level of DFT.

Calculated values
Density   3.91 Mg/m³
ΔE_f   -0.01 eV/atom
Space group   No. 99

Cell: 3.705 3.705 6.974 Å, 90.00 90.00 90.00°
Positions (direct):
Zn: 0.500 0.500 0.248
Zn: 0.000 0.000 0.055
Sr: 0.500 0.500 0.774
Li: 0.000 0.000 0.423

2.
Computed, not measured: an optimized crystal structure of Sr3Li8Zn at the PBE level of DFT.

Calculated values
Density   1.93 Mg/m³
ΔE_f   0.03 eV/atom
Space group   No. 160

Cell: 6.159 6.159 10.656 Å, 73.20 73.20 60.00°
Positions (direct):
Li: 0.571 0.571 0.802
Li: 0.571 0.057 0.802
Li: 0.314 0.314 0.058
Li: 0.810 0.810 0.571
Li: 0.059 0.059 0.334
Li: 0.059 0.548 0.334
Li: 0.057 0.571 0.802
Li: 0.548 0.059 0.334
Sr: 0.017 0.017 0.949
Sr: 0.623 0.623 0.132
Sr: 0.490 0.490 0.529
Zn: 0.132 0.132 0.604

3.
Computed, not measured: an optimized crystal structure of SrLi4Zn12 at the PBE level of DFT.

Calculated values
Density   4.34 Mg/m³
ΔE_f   0.17 eV/atom
Space group   No. 204

Cell: 7.646 7.646 7.646 Å, 109.47 109.47 109.47°
Positions (direct):
Sr: 0.000 0.000 0.000
Zn: 0.492 0.850 0.642
Zn: 0.358 0.508 0.150
Zn: 0.642 0.492 0.850
Zn: 0.150 0.358 0.508
Zn: 0.850 0.642 0.492
Zn: 0.642 0.792 0.150
Zn: 0.508 0.150 0.358
Zn: 0.150 0.642 0.792
Zn: 0.208 0.850 0.358
Zn: 0.792 0.150 0.642
Zn: 0.850 0.358 0.208
Zn: 0.358 0.208 0.850
Li: 0.500 0.000 0.000
Li: 0.000 0.000 0.500
Li: 0.000 0.500 0.000
Li: 0.500 0.500 0.500

4.
Computed, not measured: an optimized crystal structure of SrLi2Zn6 at the PBE level of DFT.

Calculated values
Density   4.55 Mg/m³
ΔE_f   -0.09 eV/atom
Space group   No. 71

Cell: 3.847 7.552 7.552 Å, 59.26 75.24 75.24°
Positions (direct):
Zn: 0.314 0.383 0.989
Zn: 0.500 0.663 0.337
Zn: 0.686 0.011 0.617
Zn: 0.500 0.337 0.663
Zn: 0.686 0.617 0.011
Zn: 0.314 0.989 0.383
Sr: 0.000 0.000 0.000
Li: 0.131 0.369 0.369
Li: 0.869 0.631 0.631

5.
Computed, not measured: an optimized crystal structure of SrLi3Zn3 at the PBE level of DFT.

Calculated values
Density   3.02 Mg/m³
ΔE_f   0.13 eV/atom
Space group   No. 223

Cell: 6.946 6.946 6.946 Å, 90.00 90.00 90.00°
Positions (direct):
Sr: 0.500 0.500 0.500
Sr: 0.000 0.000 0.000
Zn: 0.000 0.500 0.750
Zn: 0.000 0.500 0.250
Zn: 0.500 0.750 0.000
Zn: 0.750 0.000 0.500
Zn: 0.250 0.000 0.500
Zn: 0.500 0.250 0.000
Li: 0.000 0.750 0.500
Li: 0.500 0.000 0.250
Li: 0.250 0.500 0.000
Li: 0.000 0.250 0.500
Li: 0.750 0.500 0.000
Li: 0.500 0.000 0.750

6.
Computed, not measured: an optimized crystal structure of Sr3Li2Zn at the PBE level of DFT.

Calculated values
Density   2.73 Mg/m³
ΔE_f   -0.05 eV/atom
Space group   No. 123

Cell: 4.053 4.053 12.671 Å, 90.00 90.00 90.00°
Positions (direct):
Sr: 0.000 0.000 0.351
Sr: 0.000 0.000 0.649
Sr: 0.000 0.000 0.000
Li: 0.500 0.500 0.825
Li: 0.500 0.500 0.175
Zn: 0.500 0.500 0.500

7.
Computed, not measured: an optimized crystal structure of SrLi12Zn6 at the PBE level of DFT.

Calculated values
Density   2.52 Mg/m³
ΔE_f   -0.04 eV/atom
Space group   No. 166

Cell: 7.393 7.393 7.393 Å, 102.44 102.44 102.44°
Positions (direct):
Sr: 0.000 0.000 0.000
Li: 0.887 0.500 0.113
Li: 0.887 0.113 0.500
Li: 0.568 0.568 0.846
Li: 0.432 0.432 0.154
Li: 0.568 0.846 0.568
Li: 0.154 0.432 0.432
Li: 0.500 0.113 0.887
Li: 0.113 0.500 0.887
Li: 0.846 0.568 0.568
Li: 0.432 0.154 0.432
Li: 0.113 0.887 0.500
Li: 0.500 0.887 0.113
Zn: 0.285 0.745 0.745
Zn: 0.715 0.255 0.255
Zn: 0.255 0.715 0.255
Zn: 0.745 0.285 0.745
Zn: 0.745 0.745 0.285
Zn: 0.255 0.255 0.715

8.
Computed, not measured: an optimized crystal structure of Sr2Li12Zn5 at the PBE level of DFT.

Calculated values
Density   2.50 Mg/m³
ΔE_f   -0.08 eV/atom
Space group   No. 166

Cell: 7.340 7.340 7.340 Å, 83.59 83.59 83.59°
Positions (direct):
Li: 0.000 0.725 0.275
Li: 0.338 0.338 0.878
Li: 0.338 0.878 0.338
Li: 0.275 0.000 0.725
Li: 0.878 0.338 0.338
Li: 0.725 0.275 0.000
Li: 0.122 0.662 0.662
Li: 0.662 0.122 0.662
Li: 0.000 0.275 0.725
Li: 0.662 0.662 0.122
Li: 0.275 0.725 0.000
Li: 0.725 0.000 0.275
Sr: 0.658 0.658 0.658
Sr: 0.342 0.342 0.342
Zn: 0.099 0.099 0.099
Zn: 0.000 0.500 0.000
Zn: 0.000 0.000 0.500
Zn: 0.500 0.000 0.000
Zn: 0.901 0.901 0.901

9.
Computed, not measured: an optimized crystal structure of Sr2LiZn16 at the PBE level of DFT.

Calculated values
Density   6.19 Mg/m³
ΔE_f   -0.19 eV/atom
Space group   No. 160

Cell: 6.953 6.953 6.953 Å, 83.09 83.09 83.09°
Positions (direct):
Zn: 0.653 0.155 0.653
Zn: 0.287 0.999 0.711
Zn: 0.999 0.999 0.500
Zn: 0.999 0.287 0.711
Zn: 0.347 0.842 0.347
Zn: 0.711 0.999 0.287
Zn: 0.104 0.104 0.104
Zn: 0.842 0.347 0.347
Zn: 0.347 0.347 0.842
Zn: 0.999 0.500 0.999
Zn: 0.999 0.711 0.287
Zn: 0.653 0.653 0.155
Zn: 0.155 0.653 0.653
Zn: 0.500 0.999 0.999
Zn: 0.711 0.287 0.999
Zn: 0.287 0.711 0.999
Li: 0.906 0.906 0.906
Sr: 0.660 0.660 0.660
Sr: 0.341 0.341 0.341

10.
Computed, not measured: an optimized crystal structure of SrLi6Zn2 at the PBE level of DFT.

Calculated values
Density   2.20 Mg/m³
ΔE_f   -0.07 eV/atom
Space group   No. 123

Cell: 4.476 4.476 9.814 Å, 90.00 90.00 90.00°
Positions (direct):
Zn: 0.500 0.500 0.865
Zn: 0.500 0.500 0.135
Sr: 0.000 0.000 0.000
Li: 0.500 0.000 0.299
Li: 0.500 0.500 0.500
Li: 0.000 0.000 0.500
Li: 0.500 0.000 0.701
Li: 0.000 0.500 0.299
Li: 0.000 0.500 0.701

11.
Computed, not measured: an optimized crystal structure of SrLiZn2 at the PBE level of DFT.

Calculated values
Density   3.84 Mg/m³
ΔE_f   -0.18 eV/atom
Space group   No. 12

Cell: 4.492 4.492 6.183 Å, 67.96 67.96 60.22°
Positions (direct):
Zn: 0.443 0.443 0.673
Zn: 0.057 0.057 0.827
Sr: 0.250 0.250 0.250
Li: 0.750 0.750 0.750

12.
Computed, not measured: an optimized crystal structure of SrLi2Zn9 at the PBE level of DFT.

Calculated values
Density   5.46 Mg/m³
ΔE_f   -0.17 eV/atom
Space group   No. 166

Cell: 5.327 5.327 9.073 Å, 72.93 72.93 60.00°
Positions (direct):
Zn: 0.500 0.500 0.500
Zn: 0.590 0.590 0.738
Zn: 0.590 0.081 0.738
Zn: 0.410 0.410 0.262
Zn: 0.081 0.590 0.738
Zn: 0.666 0.666 0.001
Zn: 0.410 0.919 0.262
Zn: 0.334 0.334 0.999
Zn: 0.919 0.410 0.262
Sr: 0.000 0.000 0.000
Li: 0.146 0.146 0.562
Li: 0.854 0.854 0.438

Q: Among the records above, which one has the lowest ΔE_f?
A: Sr2LiZn16

Q: What is the ΔE_f in the fifth record?
A: 0.13 eV/atom